Record 1
Below is a geometry-optimized CsNiRu2W structure, with properties calculated at the PBE-GGA level.

Unit cell a=4.7161 b=6.0204 c=4.7161 alpha=90.00 beta=90.00 gamma=90.00
Closest atoms and distances in Å follow each position.
Sites, in units of the cell vectors:
Cs 0.0000 0.5000 0.0000  2 W 3.01, 4 Ni 3.33
Ru 0.0000 0.0000 0.5000  2 W 2.36
Ru 0.5000 0.0000 0.0000  2 W 2.36
W 0.0000 0.0000 0.0000  4 Ru 2.36
Ni 0.5000 0.5000 0.5000  4 Cs 3.33

Values from the calculation:
Volume ... 133.9 Å³/cell
Energy ... -27.38 eV/f.u.
Size of the total moment ... 1.7 μB per formula unit
ρ ... 7.2 Mg/m³
Energy of formation from the pure elements ... 2.15 eV/atom



Record 2
Below is a geometry-optimized Li2ZrCl structure, with properties calculated at the PBE-GGA level.

Unit cell a=9.0741 b=9.0741 c=9.0741 alpha=20.17 beta=20.17 gamma=20.17
Closest atoms and distances in Å follow each position.
Sites, in units of the cell vectors:
Cl 0.7500 0.7500 0.7500  6 Li 2.43
Li 0.0238 0.0238 0.0238  3 Cl 2.43
Li 0.4762 0.4762 0.4762  3 Cl 2.43
Zr 0.2500 0.2500 0.2500  6 Zr 3.18, 6 Li 3.39

Values from the calculation:
Volume ... 77.7 Å³/cell
Energy ... -16.60 eV/f.u.
Size of the total moment ... 0.2 μB per formula unit
ρ ... 3.0 Mg/m³
ΔE_f (raw) ... -595 meV per atom
Relative energy among the computed polymorphs ... 0.000 eV/atom



Record 3
Below is a geometry-optimized CsNaNpI6 structure, with properties calculated at the PBE-GGA level.

Unit cell a=8.1446 b=8.1446 c=17.1007 alpha=90.00 beta=90.00 gamma=120.00
Closest atoms and distances in Å follow each position.
Sites, in units of the cell vectors:
Cs 0.0000 0.0000 0.0000  6 I 3.91
Cs 0.0000 0.0000 0.5000  6 I 3.91
Na 0.3333 0.6667 0.2500  6 I 3.25
Na 0.6667 0.3333 0.7500  6 I 3.25
Np 0.6667 0.3333 0.2500  6 I 3.02
Np 0.3333 0.6667 0.7500  6 I 3.02
I 0.6438 0.6219 0.1470  1 Np 3.02, 1 Na 3.25
I 0.9781 0.3562 0.1470  1 Np 3.02, 1 Na 3.25
I 0.3562 0.9781 0.6470  1 Np 3.02, 1 Na 3.25
I 0.0219 0.6438 0.8530  1 Np 3.02, 1 Na 3.25
I 0.3781 0.3562 0.3530  1 Np 3.02, 1 Na 3.25
I 0.9781 0.6219 0.3530  1 Np 3.02, 1 Na 3.25
I 0.6219 0.9781 0.8530  1 Np 3.02, 1 Na 3.25
I 0.6438 0.0219 0.3530  1 Np 3.02, 1 Na 3.25
I 0.0219 0.3781 0.6470  1 Np 3.02, 1 Na 3.25
I 0.3781 0.0219 0.1470  1 Np 3.02, 1 Na 3.25
I 0.6219 0.6438 0.6470  1 Np 3.02, 1 Na 3.25
I 0.3562 0.3781 0.8530  1 Np 3.02, 1 Na 3.25

Values from the calculation:
Volume ... 982.4 Å³/cell
Energy ... -34.06 eV/f.u.
Size of the total moment ... 3.0 μB per formula unit
ρ ... 3.9 Mg/m³
ΔE_f (raw) ... -1072 meV per atom